<w>
A plane-wave DFT calculation with GGA-PBE was carried out for a relaxed PrZn9Ag2 crystal.

Geometry as POSCAR:
```
PrZn9Ag2
1.0
1.199 -2.450 4.522
-1.366 -5.052 0.709
7.253 -4.933 -1.511
Pr Zn Ag
1 9 2
direct
0.000 0.000 0.000
0.666 0.666 0.001
0.334 0.334 0.999
0.500 0.500 0.500
0.409 0.409 0.262
0.919 0.409 0.262
0.409 0.919 0.262
0.591 0.591 0.738
0.591 0.081 0.738
0.081 0.591 0.738
0.862 0.862 0.414
0.138 0.138 0.586
```

The value obtained for the density of states at the Fermi level is 0.329 states/eV per atom.

***

<x>
A plane-wave DFT calculation with GGA-PBE was carried out for a relaxed PrZn9Ag2 crystal.

Geometry as POSCAR:
```
PrZn9Ag2
1.0
-0.093 -3.045 -0.572
-1.329 -1.576 8.613
-6.915 1.225 -5.396
Pr Zn Ag
1 9 2
direct
0.000 0.000 0.000
0.500 0.817 0.183
0.000 0.000 0.500
0.000 0.500 0.500
0.500 0.817 0.634
0.500 0.183 0.817
0.500 0.634 0.817
0.500 0.183 0.366
0.000 0.500 0.000
0.500 0.366 0.183
0.000 0.667 0.333
0.000 0.333 0.667
```

The value obtained for the density of states at the Fermi level is 0.323 states/eV per atom.

***

Question: of the structures shown, which is the least stable? Reply: <x>.